Material: YFeNiGe
Method: DFT, PBE
State: relaxed

Results
ΔE to the lowest computed polymorph = 0.070 eV/atom

Lattice parameters (Å, degrees): 6.4279 6.4279 6.4279 90.00 90.00 90.00
Closest atoms and distances in Å follow each position.
Atoms (fractional coordinates):
1 Y 0.0000 0.0000 0.0000  4 Ge 2.78, 4 Ni 2.78
2 Y 0.0000 0.5000 0.5000  4 Ge 2.78, 4 Ni 2.78
3 Y 0.5000 0.0000 0.5000  4 Ge 2.78, 4 Ni 2.78
4 Y 0.5000 0.5000 0.0000  4 Ge 2.78, 4 Ni 2.78
5 Fe 0.0000 0.0000 0.5000  4 Ge 2.78, 4 Ni 2.78
6 Fe 0.0000 0.5000 0.0000  4 Ge 2.78, 4 Ni 2.78
7 Fe 0.5000 0.0000 0.0000  4 Ge 2.78, 4 Ni 2.78
8 Fe 0.5000 0.5000 0.5000  4 Ge 2.78, 4 Ni 2.78
9 Ni 0.2500 0.2500 0.7500  4 Fe 2.78, 4 Y 2.78
10 Ni 0.2500 0.7500 0.2500  4 Fe 2.78, 4 Y 2.78
11 Ni 0.7500 0.2500 0.2500  4 Fe 2.78, 4 Y 2.78
12 Ni 0.7500 0.7500 0.7500  4 Fe 2.78, 4 Y 2.78
13 Ge 0.2500 0.2500 0.2500  4 Fe 2.78, 4 Y 2.78
14 Ge 0.2500 0.7500 0.7500  4 Fe 2.78, 4 Y 2.78
15 Ge 0.7500 0.2500 0.7500  4 Fe 2.78, 4 Y 2.78
16 Ge 0.7500 0.7500 0.2500  4 Fe 2.78, 4 Y 2.78

Material: B2Pd2O5
Method: DFT, PBE
State: relaxed

Results
ΔE to the lowest computed polymorph = 1.090 eV/atom

Lattice parameters (Å, degrees): 3.6649 3.6649 7.6973 90.00 90.00 90.00
Closest atoms and distances in Å follow each position.
Atoms (fractional coordinates):
1 B 0.0000 0.0000 0.0000  8 O 2.16
2 B 0.0000 0.0000 0.5000  4 O 2.59
3 Pd 0.5000 0.5000 0.2307  5 O 1.94-2.07
4 Pd 0.5000 0.5000 0.7693  5 O 1.94-2.07
5 O 0.0000 0.5000 0.1495  2 Pd 1.94, 2 B 2.16
6 O 0.0000 0.5000 0.8505  2 Pd 1.94, 2 B 2.16
7 O 0.5000 0.0000 0.1495  2 Pd 1.94, 2 B 2.16
8 O 0.5000 0.0000 0.8505  2 Pd 1.94, 2 B 2.16
9 O 0.5000 0.5000 0.5000  2 Pd 2.07

Material: Tb2Re2S2O5
Method: DFT, PBE
State: relaxed

Results
energy = -7.933 eV/atom

Lattice parameters (Å, degrees): 11.1670 11.1670 11.1670 159.62 159.62 28.98
Closest atoms and distances in Å follow each position.
Atoms (fractional coordinates):
1 Tb 0.1641 0.1641 0.0000  4 O 2.42
2 Tb 0.8359 0.8359 0.0000  4 O 2.42
3 Re 0.4152 0.4152 0.0000  5 O 1.83-2.00
4 Re 0.5848 0.5848 0.0000  5 O 1.83-2.00
5 S 0.2967 0.2967 0.0000  1 Re 2.56, 1 Tb 2.87
6 S 0.7033 0.7033 0.0000  1 Re 2.56, 1 Tb 2.87
7 O 0.0999 0.5999 0.5000  2 Re 2.00
8 O 0.4001 0.9001 0.5000  2 Re 2.00
9 O 0.5000 0.5000 0.0000  2 Re 1.83
10 O 0.5999 0.0999 0.5000  2 Re 2.00
11 O 0.9001 0.4001 0.5000  2 Re 2.00